[1]
DFT (SCAN) results for CsHO at its PBEsol-relaxed geometry.

a = 4.3824 Å, b = 4.3895 Å, c = 13.8782 Å
α = 90.00°, β = 90.00°, γ = 90.00°
Closest atoms and distances in Å follow each position.
Atoms (fractional coordinates):
Cs (0.2488, 0.9886, 0.6565)  5 O 2.82-3.11, 1 H 3.15
Cs (0.7488, 0.5114, 0.3435)  5 O 2.82-3.11, 1 H 3.15
Cs (0.7512, 0.4886, 0.8435)  5 O 2.82-3.11, 1 H 3.15
Cs (0.2512, 0.0114, 0.1565)  5 O 2.82-3.11, 1 H 3.15
H (0.2535, 0.9860, 0.9297)  1 O 0.98
H (0.7535, 0.5140, 0.0703)  1 O 0.98
H (0.7465, 0.4860, 0.5703)  1 O 0.98
H (0.2465, 0.0140, 0.4297)  1 O 0.98
O (0.2518, 0.9896, 0.8594)  1 H 0.98
O (0.7518, 0.5104, 0.1406)  1 H 0.98
O (0.7482, 0.4896, 0.6406)  1 H 0.98
O (0.2482, 0.0104, 0.3594)  1 H 0.98

Properties
- magnetization (μB/cell) = 0.00
- symmetry = No. 19
- DOS(E_F) (states/eV per atom) = 0.00
- DFT total energy (eV/atom) = -17.215

***

[2]
DFT (SCAN) results for CsH3O2 at its PBEsol-relaxed geometry.

a = 4.2977 Å, b = 4.2977 Å, c = 7.8081 Å
α = 105.97°, β = 105.97°, γ = 90.00°
Closest atoms and distances in Å follow each position.
Atoms (fractional coordinates):
Cs (0.2500, 0.7500, 0.5000)  12 H 3.00-3.04, 12 O 3.20-3.27
Cs (0.0000, 0.0000, 0.0000)  12 H 3.00-3.04, 12 O 3.20-3.27
H (0.5000, 0.5000, 0.0000)  2 O 1.22
H (0.7500, 0.2500, 0.5000)  2 O 1.22
H (0.6250, 0.8750, 0.2500)  2 O 1.22
H (0.6250, 0.3750, 0.2500)  2 O 1.22
H (0.6250, 0.3750, 0.7500)  2 O 1.22
H (0.1250, 0.3750, 0.7500)  2 O 1.22
O (0.5847, 0.5847, 0.1694)  3 H 1.22
O (0.8347, 0.3347, 0.6694)  3 H 1.22
O (0.6653, 0.1653, 0.3306)  3 H 1.22
O (0.4153, 0.4153, 0.8306)  3 H 1.22

Properties
- magnetization (μB/cell) = 0.00
- symmetry = No. 141
- DOS(E_F) (states/eV per atom) = 0.00
- DFT total energy (eV/atom) = -11.331

***

[3]
DFT (SCAN) results for CsZn2P2HO8 at its PBEsol-relaxed geometry.

a = 6.5550 Å, b = 7.7946 Å, c = 8.6371 Å
α = 90.00°, β = 112.30°, γ = 90.00°
Closest atoms and distances in Å follow each position.
Atoms (fractional coordinates):
Cs (0.5000, 0.5000, 0.0000)  10 O 3.13-3.49, 2 H 3.28
Cs (0.0000, 0.0000, 0.0000)  10 O 3.13-3.49, 2 H 3.28
Zn (0.4821, 0.7500, 0.4642)  4 O 1.93-1.97
Zn (0.0179, 0.2500, 0.5358)  4 O 1.93-1.97
Zn (0.5179, 0.2500, 0.5358)  4 O 1.93-1.97
Zn (0.9821, 0.7500, 0.4642)  4 O 1.93-1.97
P (0.1423, 0.4581, 0.2845)  4 O 1.54-1.59
P (0.8577, 0.5419, 0.7155)  4 O 1.54-1.59
P (0.3577, 0.9581, 0.7155)  4 O 1.54-1.59
P (0.6423, 0.0419, 0.2845)  4 O 1.54-1.59
H (0.0000, 0.5000, 0.0000)  2 O 1.21
H (0.5000, 0.0000, 0.0000)  2 O 1.21
O (0.2031, 0.2973, 0.4063)  1 P 1.59
O (0.7969, 0.7027, 0.5937)  1 P 1.59
O (0.2969, 0.7973, 0.5937)  1 P 1.59
O (0.7031, 0.2027, 0.4063)  1 P 1.59
O (0.9610, 0.5603, 0.3155)  1 P 1.54
O (0.6455, 0.4397, 0.6845)  1 P 1.54
O (0.1455, 0.0603, 0.6845)  1 P 1.54
O (0.4610, 0.9397, 0.3155)  1 P 1.54
O (0.0390, 0.4397, 0.6845)  1 P 1.54
O (0.3545, 0.5603, 0.3155)  1 P 1.54
O (0.8545, 0.9397, 0.3155)  1 P 1.54
O (0.5390, 0.0603, 0.6845)  1 P 1.54
O (0.0519, 0.3872, 0.1038)  1 H 1.21
O (0.9481, 0.6128, 0.8962)  1 H 1.21
O (0.4481, 0.8872, 0.8962)  1 H 1.21
O (0.5519, 0.1128, 0.1038)  1 H 1.21

Properties
- magnetization (μB/cell) = 0.00
- symmetry = No. 64
- DOS(E_F) (states/eV per atom) = 0.00
- DFT total energy (eV/atom) = -12.106

***

[4]
DFT (SCAN) results for CsHPt2S4O16 at its PBEsol-relaxed geometry.

a = 8.9944 Å, b = 9.3896 Å, c = 17.2603 Å
α = 99.03°, β = 90.00°, γ = 90.00°
Closest atoms and distances in Å follow each position.
Atoms (fractional coordinates):
Cs (0.8977, 0.4952, 0.7381)  5 O 2.97-3.21
Cs (0.3977, 0.0048, 0.2619)  5 O 2.97-3.21
Cs (0.1023, 0.5048, 0.2619)  5 O 2.97-3.21
Cs (0.6023, 0.9952, 0.7381)  5 O 2.97-3.21
H (0.0526, 0.9747, 0.7524)  1 O 1.11
H (0.5526, 0.5253, 0.2476)  1 O 1.11
H (0.9474, 0.0253, 0.2476)  1 O 1.11
H (0.4474, 0.4747, 0.7524)  1 O 1.11
Pt (0.8780, 0.0628, 0.5042)  5 O 2.00-2.14
Pt (0.3780, 0.4372, 0.4958)  5 O 2.00-2.14
Pt (0.1220, 0.9372, 0.4958)  5 O 2.00-2.14
Pt (0.6220, 0.5628, 0.5042)  5 O 2.00-2.14
Pt (0.9338, 0.1117, 0.9895)  5 O 2.01-2.16
Pt (0.4338, 0.3883, 0.0105)  5 O 2.01-2.16
Pt (0.0662, 0.8883, 0.0105)  5 O 2.01-2.16
Pt (0.5662, 0.6117, 0.9895)  5 O 2.01-2.16
S (0.6191, 0.2779, 0.5737)  4 O 1.44-1.54
S (0.1191, 0.2221, 0.4263)  4 O 1.44-1.54
S (0.3809, 0.7221, 0.4263)  4 O 1.44-1.54
S (0.8809, 0.7779, 0.5737)  4 O 1.44-1.54
S (0.0766, 0.1398, 0.6493)  4 O 1.43-1.54
S (0.5766, 0.3602, 0.3507)  4 O 1.43-1.54
S (0.9234, 0.8602, 0.3507)  4 O 1.43-1.54
S (0.4234, 0.6398, 0.6493)  4 O 1.43-1.54
S (0.7188, 0.3295, 0.9132)  4 O 1.44-1.53
S (0.2188, 0.1705, 0.0868)  4 O 1.44-1.53
S (0.2812, 0.6705, 0.0868)  4 O 1.44-1.53
S (0.7812, 0.8295, 0.9132)  4 O 1.44-1.53
S (0.1723, 0.0105, 0.8649)  4 O 1.43-1.53
S (0.6723, 0.4895, 0.1351)  4 O 1.43-1.53
S (0.8277, 0.9895, 0.1351)  4 O 1.43-1.53
S (0.3277, 0.5105, 0.8649)  4 O 1.43-1.53
O (0.7006, 0.4206, 0.5703)  1 S 1.54
O (0.2006, 0.0794, 0.4297)  1 S 1.54
O (0.2994, 0.5794, 0.4297)  1 S 1.54
O (0.7994, 0.9206, 0.5703)  1 S 1.54
O (0.4529, 0.2977, 0.5631)  1 S 1.52
O (0.9529, 0.2023, 0.4369)  1 S 1.52
O (0.5471, 0.7023, 0.4369)  1 S 1.52
O (0.0471, 0.7977, 0.5631)  1 S 1.52
O (0.6468, 0.2385, 0.6495)  1 S 1.44
O (0.1468, 0.2615, 0.3505)  1 S 1.44
O (0.3532, 0.7615, 0.3505)  1 S 1.44
O (0.8532, 0.7385, 0.6495)  1 S 1.44
O (0.6659, 0.1675, 0.5065)  1 S 1.49
O (0.1659, 0.3325, 0.4935)  1 S 1.49
O (0.3341, 0.8325, 0.4935)  1 S 1.49
O (0.8341, 0.6675, 0.5065)  1 S 1.49
O (0.0045, 0.0346, 0.6926)  1 H 1.32, 1 S 1.48
O (0.5045, 0.4654, 0.3074)  1 H 1.32, 1 S 1.48
O (0.9955, 0.9654, 0.3074)  1 H 1.32, 1 S 1.48
O (0.4955, 0.5346, 0.6926)  1 H 1.32, 1 S 1.48
O (0.9543, 0.1950, 0.5993)  1 S 1.54
O (0.4543, 0.3050, 0.4007)  1 S 1.54
O (0.0457, 0.8050, 0.4007)  1 S 1.54
O (0.5457, 0.6950, 0.5993)  1 S 1.54
O (0.1949, 0.0653, 0.5932)  1 S 1.53
O (0.6949, 0.4347, 0.4068)  1 S 1.53
O (0.8051, 0.9347, 0.4068)  1 S 1.53
O (0.3051, 0.5653, 0.5932)  1 S 1.53
O (0.1424, 0.2616, 0.6976)  1 S 1.43
O (0.6424, 0.2384, 0.3024)  1 S 1.43
O (0.8576, 0.7384, 0.3024)  1 S 1.43
O (0.3576, 0.7616, 0.6976)  1 S 1.43
O (0.8274, 0.3132, 0.9762)  1 S 1.49
O (0.3274, 0.1868, 0.0238)  1 S 1.49
O (0.1726, 0.6868, 0.0238)  1 S 1.49
O (0.6726, 0.8132, 0.9762)  1 S 1.49
O (0.7628, 0.2620, 0.8362)  1 S 1.44
O (0.2628, 0.2380, 0.1638)  1 S 1.44
O (0.2372, 0.7380, 0.1638)  1 S 1.44
O (0.7372, 0.7620, 0.8362)  1 S 1.44
O (0.7027, 0.4920, 0.9127)  1 S 1.53
O (0.2027, 0.0080, 0.0873)  1 S 1.53
O (0.2973, 0.5080, 0.0873)  1 S 1.53
O (0.7973, 0.9920, 0.9127)  1 S 1.53
O (0.5672, 0.2693, 0.9319)  1 S 1.53
O (0.0672, 0.2307, 0.0681)  1 S 1.53
O (0.4328, 0.7307, 0.0681)  1 S 1.53
O (0.9328, 0.7693, 0.9319)  1 S 1.53
O (0.3039, 0.0630, 0.8330)  1 S 1.43
O (0.8039, 0.4370, 0.1670)  1 S 1.43
O (0.6961, 0.9370, 0.1670)  1 S 1.43
O (0.1961, 0.5630, 0.8330)  1 S 1.43
O (0.0761, 0.9206, 0.8039)  1 H 1.11
O (0.5761, 0.5794, 0.1961)  1 H 1.11
O (0.9239, 0.0794, 0.1961)  1 H 1.11
O (0.4239, 0.4206, 0.8039)  1 H 1.11
O (0.2098, 0.9123, 0.9240)  1 S 1.52
O (0.7098, 0.5877, 0.0760)  1 S 1.52
O (0.7902, 0.0877, 0.0760)  1 S 1.52
O (0.2902, 0.4123, 0.9240)  1 S 1.52
O (0.0794, 0.1381, 0.9044)  1 S 1.53
O (0.5794, 0.3619, 0.0956)  1 S 1.53
O (0.9206, 0.8619, 0.0956)  1 S 1.53
O (0.4206, 0.6381, 0.9044)  1 S 1.53

Properties
- magnetization (μB/cell) = 0.00
- symmetry = No. 14
- DOS(E_F) (states/eV per atom) = 0.00
- DFT total energy (eV/atom) = -14.695